# BeSn3N | Alexandria via LeMat-Bulk | SCAN | PBEsol geometry
data_BeSn3N
_symmetry_space_group_name_H-M 'P m -3 m'
_symmetry_Int_Tables_number 221
_symmetry_space_group_name_Hall '-P 4 2 3'
_cell_length_a 4.630
_cell_length_b 4.630
_cell_length_c 4.630
_cell_angle_alpha 90.00
_cell_angle_beta 90.00
_cell_angle_gamma 90.00
loop_
_atom_site_label
_atom_site_fract_x
_atom_site_fract_y
_atom_site_fract_z
Be1 0.000 0.000 0.000
Sn1 0.000 0.500 0.500
N1 0.500 0.500 0.500
# - uncorrected energy (eV/atom) = -23.320
# - calculated density (kg/m³) = 6342
# - raw formation energy (meV/atom) = 962

***

# SbTe2As | Alexandria via LeMat-Bulk | SCAN | PBEsol geometry
data_SbTe2As
_symmetry_space_group_name_H-M 'P m m m'
_symmetry_Int_Tables_number 47
_cell_length_a 3.610
_cell_length_b 5.190
_cell_length_c 5.248
_cell_angle_alpha 90.00
_cell_angle_beta 90.00
_cell_angle_gamma 90.00
loop_
_symmetry_equiv_pos_as_xyz
'x,y,z'
'-x,-y,-z'
'-x,-y,z'
'x,y,-z'
'x,-y,-z'
'-x,y,z'
'-x,y,-z'
'x,-y,z'
loop_
_atom_site_label
_atom_site_fract_x
_atom_site_fract_y
_atom_site_fract_z
Sb1 0.000 0.000 0.000
Te1 0.000 0.500 0.500
Te2 0.500 0.500 0.000
As1 0.500 0.000 0.500
# - uncorrected energy (eV/atom) = -32.599
# - E above lowest polymorph (eV per atom) = 0.312
# - calculated density (kg/m³) = 7630
# - raw formation energy (meV/atom) = 390

***

# Mg2FeHg | Alexandria via LeMat-Bulk | SCAN | PBEsol geometry
data_Mg2FeHg
_symmetry_space_group_name_H-M 'C 1 2/m 1'
_symmetry_Int_Tables_number 12
_cell_length_a 5.880
_cell_length_b 7.943
_cell_length_c 2.991
_cell_angle_alpha 90.00
_cell_angle_beta 90.13
_cell_angle_gamma 90.00
loop_
_symmetry_equiv_pos_as_xyz
'x,y,z'
'-x,-y,-z'
'-x,y,-z'
'x,-y,z'
'x+1/2,y+1/2,z'
'-x+1/2,-y+1/2,-z'
'-x+1/2,y+1/2,-z'
'x+1/2,-y+1/2,z'
loop_
_atom_site_label
_atom_site_fract_x
_atom_site_fract_y
_atom_site_fract_z
Mg1 0.250 0.250 0.000
Fe1 0.000 0.000 0.500
Hg1 0.000 0.500 0.500
# - uncorrected energy (eV/atom) = -24.043
# - calculated density (kg/m³) = 7251
# - DFT formation energy (eV/atom) = 0.017

***

Question: Which formula does entry 1 have?
Answer: BeSn3N

***

Copy entry 2 word for word.
# SbTe2As | Alexandria via LeMat-Bulk | SCAN | PBEsol geometry
data_SbTe2As
_symmetry_space_group_name_H-M 'P m m m'
_symmetry_Int_Tables_number 47
_cell_length_a 3.610
_cell_length_b 5.190
_cell_length_c 5.248
_cell_angle_alpha 90.00
_cell_angle_beta 90.00
_cell_angle_gamma 90.00
loop_
_symmetry_equiv_pos_as_xyz
'x,y,z'
'-x,-y,-z'
'-x,-y,z'
'x,y,-z'
'x,-y,-z'
'-x,y,z'
'-x,y,-z'
'x,-y,z'
loop_
_atom_site_label
_atom_site_fract_x
_atom_site_fract_y
_atom_site_fract_z
Sb1 0.000 0.000 0.000
Te1 0.000 0.500 0.500
Te2 0.500 0.500 0.000
As1 0.500 0.000 0.500
# - uncorrected energy (eV/atom) = -32.599
# - E above lowest polymorph (eV per atom) = 0.312
# - calculated density (kg/m³) = 7630
# - raw formation energy (meV/atom) = 390